(1)
{
  "formula": "SrIr2W",
  "functional": "PBE",
  "state": "optimized geometry",
  "e_above_lowest_polymorph_ev_per_atom": 0.4584,
  "final_energy_ev_per_cell": -30.4,
  "delta_e_f_ev_per_atom": 0.49,
  "lattice_angstrom": [[-0.458, -2.130, -2.566], [-2.458, -1.535, 1.713], [-4.894, 4.573, -2.923]],
  "species": ["W", "Ir", "Ir", "Sr"],
  "frac_coords": [[0.500, 0.500, 0.845], [0.500, 0.500, 0.196], [0.000, 0.000, 0.978], [0.000, 0.000, 0.481]]
}

***

(2)
{
  "formula": "Mg2SiMo",
  "functional": "PBE",
  "state": "optimized geometry",
  "final_energy_ev_per_cell": -18.8,
  "formation_energy_uncorrected_mev_per_atom": 171,
  "lattice_angstrom": [[5.339, 0.022, 0.075], [-2.306, 4.785, -0.023], [0.727, 0.766, 2.615]],
  "species": ["Mo", "Mg", "Mg", "Si"],
  "frac_coords": [[0.000, 0.500, 0.500], [0.500, 0.000, 0.500], [0.000, 0.000, 0.000], [0.500, 0.500, 0.000]]
}

***

(3)
{
  "formula": "CeCrS3",
  "functional": "PBE",
  "state": "optimized geometry",
  "e_above_lowest_polymorph_ev_per_atom": 0.1310,
  "final_energy_ev_per_cell": -68.2,
  "formation_energy_uncorrected_mev_per_atom": -1235,
  "lattice_angstrom": [[-1.471, 1.805, -2.866], [-1.508, -6.557, -3.357], [-6.852, -2.317, 2.056]],
  "species": ["Cr", "Cr", "S", "S", "S", "S", "S", "S", "Ce", "Ce"],
  "frac_coords": [[0.363, 0.694, 0.246], [0.364, 0.194, 0.746], [0.863, 0.767, 0.425], [0.864, 0.372, 0.820], [0.863, 0.621, 0.068], [0.363, 0.366, 0.419], [0.363, 0.022, 0.074], [0.864, 0.016, 0.673], [0.863, 0.194, 0.247], [0.363, 0.694, 0.746]]
}